{"formula": "In12Sn2Bi5", "functional": "GGA-PBE", "state": "relaxed", "magmom_total_mub_per_cell": 0.00, "de_polymorph_mev_per_atom": 0, "formation_energy_mev_per_atom": 45, "energy_ev_per_atom": -3.13, "lattice": [[-2.391, -5.939, -7.102], [6.174, -5.887, 2.844], [-5.625, 2.186, 6.503]], "species": ["In", "In", "In", "In", "In", "In", "In", "In", "In", "In", "In", "In", "Sn", "Sn", "Bi", "Bi", "Bi", "Bi", "Bi"], "fractional_positions": [[0.164, 0.118, 0.328], [0.353, 0.810, 0.311], [0.958, 0.810, 0.311], [0.360, 0.383, 0.180], [0.821, 0.383, 0.180], [0.599, 0.663, 0.198], [0.401, 0.337, 0.802], [0.640, 0.617, 0.820], [0.179, 0.617, 0.820], [0.647, 0.190, 0.689], [0.042, 0.190, 0.689], [0.836, 0.882, 0.672], [0.761, 0.000, 0.000], [0.239, 0.000, 0.000], [0.760, 0.478, 0.520], [0.649, 0.060, 0.297], [0.000, 0.500, 0.000], [0.351, 0.940, 0.703], [0.240, 0.522, 0.480]]}